The following is a PBE calculation of ZrNbRhN2 after structural relaxation, from Alexandria via LeMat-Bulk.

Summary:
- space-group type = No. 123
- formation energy without anion corrections (eV per atom) = 1.32

abc: 4.0105 5.9916 4.0105
angles: 90.00 90.00 90.00
Site moments in Bohr magnetons follow the coordinates.
Element x y z (fractional)
Nb 0.0000 0.5000 0.0000  0.06
Rh 0.5000 0.5000 0.5000  0.33
Zr 0.0000 0.0000 0.0000  0.01
N 0.0000 0.0000 0.5000  -0.06
N 0.5000 0.0000 0.0000  -0.04